(1)
Pu2RhS4 | PBE | optimized geometry

Lattice parameters (Å, degrees): 6.680 11.018 3.844 90.00 90.00 90.00
Space group Pbam (No. 55)
Unique sites:
Pu1 0.123 0.167 0.000 x4
Rh1 0.000 0.500 0.500 x2
S1 0.100 0.710 0.500 x4
S2 0.225 0.439 0.000 x4

Output
- spin magnetization (μB per cell) = 21.7
- calculated total energy (eV per atom) = -8.73

(2)
Pu2RhS | PBE | optimized geometry

Lattice parameters (Å, degrees): 3.404 3.404 7.026 90.00 90.00 90.00
Space group P4/mmm (No. 123)
Unique sites:
Pu1 0.000 0.000 0.250 x2
Rh1 0.500 0.500 0.000 x1
S1 0.500 0.500 0.500 x1

Output
- spin magnetization (μB per cell) = 10.7
- calculated total energy (eV per atom) = -10.92

(3)
PuRhS2 | PBE | optimized geometry

Lattice parameters (Å, degrees): 3.5972 3.5972 23.6039 90.00 90.00 120.00
Space group R-3m (No. 166, hexagonal axes)
Unique sites:
Pu1 0.0000 0.0000 0.0000 x3
Rh1 0.0000 0.0000 0.5000 x3
S1 0.0000 0.0000 0.1159 x6

Output
- spin magnetization (μB per cell) = 19.2
- calculated total energy (eV per atom) = -7.89

(4)
PuRh2S | PBE | optimized geometry

Lattice parameters (Å, degrees): 4.1462 4.1462 18.0277 90.00 90.00 120.00
Space group R-3m (No. 166, hexagonal axes)
Unique sites:
Pu1 0.0000 0.0000 0.0000 x3
Rh1 0.0000 0.0000 0.1313 x6
S1 0.0000 0.0000 0.5000 x3

Output
- spin magnetization (μB per cell) = 14.1
- calculated total energy (eV per atom) = -8.35

(5)
PuSbRhS | PBE | optimized geometry

Lattice parameters (Å, degrees): 4.493 4.493 8.584 90.00 90.00 90.00
Space group P4/nmm (No. 129, origin choice 2)
Unique sites:
Pu1 0.250 0.250 0.175 x2
Sb1 0.250 0.250 0.661 x2
Rh1 0.250 0.750 0.500 x2
S1 0.250 0.750 0.000 x2

Output
- spin magnetization (μB per cell) = 10.8
- calculated total energy (eV per atom) = -8.41

(6)
Pu3Tl3RhS8 | PBE | optimized geometry

Lattice parameters (Å, degrees): 7.7831 7.7831 22.9439 90.00 90.00 120.00
Space group R-3m (No. 166, hexagonal axes)
Unique sites:
Pu1 0.0000 0.5000 0.0000 x9
Tl1 0.0000 0.5000 0.5000 x9
Rh1 0.0000 0.0000 0.0000 x3
S1 0.0000 0.0000 0.2672 x6
S2 0.0276 0.5138 0.7274 x18

Output
- spin magnetization (μB per cell) = 42.0
- calculated total energy (eV per atom) = -7.04

(7)
PuU2RhS5 | PBE | optimized geometry

Lattice parameters (Å, degrees): 7.232 7.232 12.721 90.00 90.00 90.00
Space group I4/mcm (No. 140)
Unique sites:
Pu1 0.000 0.000 0.250 x4
U1 0.122 0.378 0.000 x8
Rh1 0.000 0.500 0.250 x4
S1 0.000 0.000 0.000 x4
S2 0.180 0.320 0.360 x16

Output
- spin magnetization (μB per cell) = 20.1
- calculated total energy (eV per atom) = -8.42

(8)
Pu2SbRh | PBE | optimized geometry

Lattice parameters (Å, degrees): 7.686 4.430 6.216 90.00 90.03 90.00
Space group C2/m (No. 12)
Unique sites:
Pu1 0.167 0.000 0.209 x4
Sb1 0.000 0.500 0.500 x2
Rh1 0.000 0.500 0.000 x2

Output
- spin magnetization (μB per cell) = 21.5
- calculated total energy (eV per atom) = -10.44

(9)
PuSb2Rh | PBE | optimized geometry

Lattice parameters (Å, degrees): 3.3692 3.3692 30.3045 90.00 90.00 120.00
Space group R-3m (No. 166, hexagonal axes)
Unique sites:
Pu1 0.0000 0.0000 0.0000 x3
Sb1 0.0000 0.0000 0.1044 x6
Rh1 0.0000 0.0000 0.5000 x3

Output
- spin magnetization (μB per cell) = 18.9
- calculated total energy (eV per atom) = -7.55

(10)
Pu2SbRh | PBE | optimized geometry

Lattice parameters (Å, degrees): 4.417 4.417 4.496 90.00 90.00 90.00
Space group P4/mmm (No. 123)
Unique sites:
Pu1 0.000 0.500 0.000 x2
Sb1 0.000 0.000 0.500 x1
Rh1 0.500 0.500 0.500 x1

Output
- spin magnetization (μB per cell) = 11.1
- calculated total energy (eV per atom) = -10.50

(11)
Pu2Sb3Rh5 | PBE | optimized geometry

Lattice parameters (Å, degrees): 4.364 25.547 7.113 90.00 90.00 90.00
Space group Cmc2_1 (No. 36)
Unique sites:
Pu1 0.000 0.010 0.000 x4
Pu2 0.000 0.324 0.026 x4
Sb1 0.000 0.110 0.769 x4
Sb2 0.000 0.278 0.584 x4
Sb3 0.000 0.444 0.766 x4
Rh1 0.000 0.102 0.396 x4
Rh2 0.000 0.208 0.870 x4
Rh3 0.000 0.218 0.287 x4
Rh4 0.000 0.376 0.482 x4
Rh5 0.000 0.447 0.152 x4

Output
- spin magnetization (μB per cell) = 39.8
- calculated total energy (eV per atom) = -8.26

(12)
Pu2Sb4Rh5 | PBE | optimized geometry

Lattice parameters (Å, degrees): 5.756 10.084 16.165 90.00 90.00 90.00
Space group Fmmm (No. 69)
Unique sites:
Pu1 0.000 0.000 0.112 x8
Sb1 0.000 0.159 0.370 x16
Rh1 0.000 0.000 0.500 x4
Rh2 0.250 0.250 0.000 x8
Rh3 0.250 0.250 0.250 x8

Output
- spin magnetization (μB per cell) = 44.4
- calculated total energy (eV per atom) = -7.87

Per-record formation energy from raw total energies, eV per atom: -1.23, -0.89, -0.41, -0.06, -0.93, -1.01, -1.21, -0.41, -0.07, -0.46, -0.48, -0.42